This record from Alexandria via LeMat-Bulk describes a relaxed RbTa3S crystal. The functional is PBE-GGA.

extended XYZ file:
```
5
Lattice="-0.2869 -4.6148 -1.3992 4.7991 -0.4104 0.3696 -0.4720 -1.3681 4.6089" Properties=species:S:1:pos:R:3 pbc="T T T"
Ta 2.3995 -0.2052 0.1848
Ta -0.2360 -0.6841 2.3044
Ta -0.1434 -2.3074 -0.6996
S 2.0201 -3.1966 1.7896
Rb 0.0000 0.0000 0.0000
```

Summary:
- Formation energy (no corrections): 1631 kJ/mol of formula units
- Total magnetic moment: 0.0 μB/cell